# 1
The following is a PBE calculation of CsRbCdSe2 after structural relaxation, from the Alexandria database.

Unit cell a=6.2404 b=8.4301 c=7.3436 alpha=90.00 beta=90.00 gamma=90.00
Element x y z (fractional)
Cs  0.2500  0.0000  0.1995
Cs  0.7500  0.0000  0.8005
Rb  0.2500  0.5000  0.4215
Rb  0.7500  0.5000  0.5785
Cd  0.0000  0.5000  0.0000
Cd  0.5000  0.5000  0.0000
Se  0.2500  0.2772  0.8111
Se  0.2500  0.7228  0.8111
Se  0.7500  0.2772  0.1889
Se  0.7500  0.7228  0.1889

Computed properties:
Energy relative to the elements, uncorrected   -3.74 eV/f.u.
ρ   4.201 g cm⁻³


# 2
The following is a PBE calculation of CsRbCdSe after structural relaxation, from the Alexandria database.

Unit cell a=6.0999 b=6.0999 c=6.0999 alpha=60.00 beta=60.00 gamma=60.00
Element x y z (fractional)
Cs  0.0000  0.0000  0.0000
Rb  0.5000  0.5000  0.5000
Cd  0.7500  0.7500  0.7500
Se  0.2500  0.2500  0.2500

Computed properties:
Energy relative to the elements, uncorrected   -2.44 eV/f.u.
ρ   4.239 g cm⁻³
DOS(E_F)   0.00 states/eV/f.u.


# 3
The following is a PBE calculation of Cs2RbCdSe after structural relaxation, from the Alexandria database.

Unit cell a=7.0290 b=7.0290 c=6.6314 alpha=90.00 beta=90.00 gamma=90.00
Element x y z (fractional)
Cs  0.0000  0.5000  0.0000
Cs  0.5000  0.0000  0.0000
Rb  0.0000  0.0000  0.5000
Cd  0.5000  0.5000  0.5000
Se  0.0000  0.0000  0.0000

Computed properties:
Energy relative to the elements, uncorrected   -2.51 eV/f.u.
ρ   2.750 g cm⁻³
DOS(E_F)   3.81 states/eV/f.u.


# 4
The following is a PBE calculation of Cs2RbCdSn after structural relaxation, from the Alexandria database.

Unit cell a=7.4507 b=7.4507 c=5.5184 alpha=90.00 beta=90.00 gamma=90.00
Element x y z (fractional)
Cs  0.0000  0.5000  0.0000
Cs  0.5000  0.0000  0.0000
Rb  0.0000  0.0000  0.5000
Cd  0.5000  0.5000  0.0000
Sn  0.5000  0.5000  0.5000

Computed properties:
ρ   3.157 g cm⁻³
DFT formation energy   21 meV/atom
Offset from the most stable computed form   0.0 kJ per mole of atoms
DOS(E_F)   2.15 states/eV/f.u.


# 5
The following is a PBE calculation of CsRb2CdSn after structural relaxation, from the Alexandria database.

Unit cell a=7.1193 b=7.1193 c=5.5431 alpha=90.00 beta=90.00 gamma=90.00
Element x y z (fractional)
Cs  0.0000  0.0000  0.0000
Rb  0.0000  0.5000  0.5000
Rb  0.5000  0.0000  0.5000
Cd  0.5000  0.5000  0.5000
Sn  0.5000  0.5000  0.0000

Computed properties:
ρ   3.162 g cm⁻³
DFT formation energy   17 meV/atom
DOS(E_F)   2.27 states/eV/f.u.


# 6
The following is a PBE calculation of CsRb2CdSn after structural relaxation, from the Alexandria database.

Unit cell a=7.3787 b=7.3787 c=5.6076 alpha=90.00 beta=90.00 gamma=90.00
Element x y z (fractional)
Cs  0.0000  0.0000  0.0000
Rb  0.0000  0.5000  0.5000
Rb  0.5000  0.0000  0.5000
Cd  0.5000  0.5000  0.0000
Sn  0.5000  0.5000  0.5000

Computed properties:
ρ   2.910 g cm⁻³
DFT formation energy   17 meV/atom
DOS(E_F)   2.91 states/eV/f.u.


# 7
The following is a PBE calculation of CsRbSr2Cd after structural relaxation, from the Alexandria database.

Unit cell a=6.6430 b=6.6430 c=7.4728 alpha=90.00 beta=90.00 gamma=90.00
Element x y z (fractional)
Cs  0.0000  0.0000  0.0000
Rb  0.5000  0.5000  0.0000
Sr  0.0000  0.5000  0.5000
Sr  0.5000  0.0000  0.5000
Cd  0.0000  0.0000  0.5000

Computed properties:
ρ   2.548 g cm⁻³
DFT formation energy   52 meV/atom
Offset from the most stable computed form   0.8 kJ per mole of atoms
DOS(E_F)   4.30 states/eV/f.u.


# 8
The following is a PBE calculation of CsRbSr2Cd after structural relaxation, from the Alexandria database.

Unit cell a=6.6280 b=6.6280 c=7.4039 alpha=90.00 beta=90.00 gamma=90.00
Element x y z (fractional)
Cs  0.0000  0.0000  0.0000
Rb  0.5000  0.5000  0.0000
Sr  0.0000  0.5000  0.5000
Sr  0.5000  0.0000  0.5000
Cd  0.5000  0.5000  0.5000

Computed properties:
ρ   2.583 g cm⁻³
DFT formation energy   44 meV/atom
Offset from the most stable computed form   0.0 kJ per mole of atoms
DOS(E_F)   5.00 states/eV/f.u.